# 1
Material: CrB2F
Method: DFT, GGA-PBEsol
State: relaxed

CIF file:
```
data_CrB2F
_cell_length_a 6.974
_cell_length_b 6.974
_cell_length_c 3.506
_cell_angle_alpha 90.00
_cell_angle_beta 90.00
_cell_angle_gamma 90.00
_space_group_name_H-M_alt 'I -4 2 d'
_space_group_IT_number 122
_space_group_name_Hall 'I -4 2bw'
loop_
_atom_site_label
_atom_site_type_symbol
_atom_site_fract_x
_atom_site_fract_y
_atom_site_fract_z
_atom_site_occupancy
Cr1 Cr 0.000 0.000 0.000 1
B1 B 0.226 0.250 0.125 1
F1 F 0.000 0.000 0.500 1
```

Results
As for the total energy: -6.328 eV/atom. The calculation puts the density at 3.61 g/cm³. Its calculated volume is 170.5 Å³/cell. As for the formation energy without anion corrections: 222 meV per atom.


# 2
Material: CrFeB2
Method: DFT, GGA-PBEsol
State: relaxed

CIF file:
```
data_CrFeB2
_cell_length_a 2.901
_cell_length_b 4.065
_cell_length_c 5.411
_cell_angle_alpha 90.00
_cell_angle_beta 90.00
_cell_angle_gamma 90.00
_space_group_name_H-M_alt 'P m c 21'
_space_group_IT_number 26
_space_group_name_Hall 'P 2c -2'
loop_
_atom_site_label
_atom_site_type_symbol
_atom_site_fract_x
_atom_site_fract_y
_atom_site_fract_z
_atom_site_occupancy
Cr1 Cr 0.000 0.126 0.000 1
Fe1 Fe 0.500 0.366 0.643 1
B1 B 0.000 0.374 0.357 1
B2 B 0.500 0.142 0.286 1
```

Results
As for the total energy: -8.790 eV/atom. The calculation puts the density at 6.74 g/cm³. Its calculated volume is 63.8 Å³/cell.